# 1
# TlCdHgAu

TlCdHgAu after structural relaxation (PBE, OQMD).

Output
The energy above the most stable polymorph in this dataset comes out at 0 meV per atom.

Cell lengths 5.1599, 5.1599, 5.1599 Å; angles 60.00, 60.00, 60.00 degrees
With the nearest neighbours (Å) after each atom.
Fractional coordinates of all 4 atoms:
1 Hg 0.2500 0.2500 0.2500  4 Cd 3.16, 4 Tl 3.16
2 Tl 0.5000 0.5000 0.5000  4 Hg 3.16, 4 Au 3.16
3 Au 0.7500 0.7500 0.7500  4 Cd 3.16, 4 Tl 3.16
4 Cd 0.0000 0.0000 0.0000  4 Au 3.16, 4 Hg 3.16

# 2
# RbGe2Au2

RbGe2Au2 after structural relaxation (PBE, OQMD).

Output
The energy above the most stable polymorph in this dataset comes out at 0 meV per atom.

Cell lengths 6.5265, 6.5265, 6.5265 Å; angles 137.91, 137.91, 61.03 degrees
With the nearest neighbours (Å) after each atom.
Fractional coordinates of all 5 atoms:
1 Au 0.7500 0.2500 0.5000  4 Ge 2.66
2 Au 0.2500 0.7500 0.5000  4 Ge 2.66
3 Ge 0.6375 0.6375 0.0000  4 Au 2.66
4 Ge 0.3625 0.3625 0.0000  4 Au 2.66
5 Rb 0.0000 0.0000 0.0000  10 Ge 3.66-4.08, 8 Au 3.66

# 3
# DyZnOs

DyZnOs after structural relaxation (PBE, OQMD).

Output
The value obtained for the formation energy is 251 meV/atom. The total magnetic moment is 0.007 μB/cell.

Cell lengths 4.4007, 4.4007, 4.4007 Å; angles 60.00, 60.00, 60.00 degrees
With the nearest neighbours (Å) after each atom.
Fractional coordinates of all 3 atoms:
1 Dy 0.2500 0.2500 0.2500  4 Zn 2.69
2 Os 0.7500 0.7500 0.7500  4 Zn 2.69
3 Zn 0.0000 0.0000 0.0000  4 Os 2.69, 4 Dy 2.69

# 4
# ZnAgTeO

ZnAgTeO after structural relaxation (PBE, OQMD).

Output
The energy above the most stable polymorph in this dataset comes out at 154 meV per atom.

Cell lengths 2.9770, 5.6729, 8.8042 Å; angles 90.00, 80.27, 90.00 degrees
With the nearest neighbours (Å) after each atom.
Fractional coordinates of all 8 atoms:
1 Ag 0.1648 0.7500 0.6703  4 Te 2.86-3.02, 2 Ag 2.98, 2 O 3.19, 2 Zn 3.20
2 Te 0.1840 0.2500 0.6320  4 Ag 2.86-3.02, 2 Te 2.98
3 O 0.0000 0.5000 0.0000  4 Zn 2.06
4 Te 0.8160 0.7500 0.3680  4 Ag 2.86-3.02, 2 Te 2.98
5 Zn 0.5019 0.7500 0.9963  4 O 2.06
6 Zn 0.4981 0.2500 0.0037  4 O 2.06
7 O 0.0000 0.0000 0.0000  4 Zn 2.06
8 Ag 0.8352 0.2500 0.3297  4 Te 2.86-3.02, 2 Ag 2.98, 2 O 3.19, 2 Zn 3.20

# 5
# LaGdZn

LaGdZn after structural relaxation (PBE, OQMD).

Output
The value obtained for the formation energy is 14 meV/atom. The energy above the most stable polymorph in this dataset comes out at 0 meV per atom. The total magnetic moment is 0.008 μB/cell.

Cell lengths 5.0749, 5.0749, 5.0749 Å; angles 60.00, 60.00, 60.00 degrees
With the nearest neighbours (Å) after each atom.
Fractional coordinates of all 3 atoms:
1 Zn 0.0000 0.0000 0.0000  4 Gd 3.11, 4 La 3.11
2 Gd 0.2500 0.2500 0.2500  4 Zn 3.11
3 La 0.7500 0.7500 0.7500  4 Zn 3.11

# 6
# ZnCu2Au2

ZnCu2Au2 after structural relaxation (PBE, OQMD).

Output
The value obtained for the formation energy is 216 meV/atom.

Cell lengths 6.5326, 6.5326, 6.5326 Å; angles 145.97, 145.97, 48.89 degrees
With the nearest neighbours (Å) after each atom.
Fractional coordinates of all 5 atoms:
1 Au 0.2500 0.7500 0.5000  4 Cu 2.64, 4 Au 2.70
2 Au 0.7500 0.2500 0.5000  4 Cu 2.64, 4 Au 2.70
3 Cu 0.5963 0.5963 0.0000  1 Cu 2.29
4 Cu 0.4037 0.4037 0.0000  1 Cu 2.29
5 Zn 0.0000 0.0000 0.0000  8 Cu 2.94

# 7
# Y2HoNi2B2N3

Y2HoNi2B2N3 after structural relaxation (PBE, OQMD).

Output
The raw total energy comes out at -79.21 eV per cell. The total magnetic moment is 0.004 μB/cell.

Cell lengths 10.3124, 10.3124, 10.3124 Å; angles 160.61, 160.61, 27.56 degrees
With the nearest neighbours (Å) after each atom.
Fractional coordinates of all 10 atoms:
1 Ni 0.2500 0.7500 0.5000  4 B 2.12
2 Ho 0.0000 0.0000 0.0000  6 N 2.33-2.46
3 B 0.8107 0.8107 0.0000  1 N 1.46
4 B 0.1893 0.1893 0.0000  1 N 1.46
5 Y 0.3770 0.3770 0.0000  5 N 2.46
6 N 0.5000 0.5000 0.0000  4 Ho 2.46, 2 Y 2.46
7 N 0.1166 0.1166 0.0000  1 B 1.46
8 Y 0.6230 0.6230 0.0000  5 N 2.46
9 Ni 0.7500 0.2500 0.5000  4 B 2.12
10 N 0.8834 0.8834 0.0000  1 B 1.46

# 8
# Zr2Pd

Zr2Pd after structural relaxation (PBE, OQMD).

Output
The value obtained for the formation energy is -489 meV/atom. The total magnetic moment is 0.023 μB/cell.

Cell lengths 3.3406, 3.3406, 10.8367 Å; angles 90.00, 90.00, 90.00 degrees
With the nearest neighbours (Å) after each atom.
Fractional coordinates of all 6 atoms:
1 Zr 0.5000 0.5000 0.6567  4 Pd 2.91, 4 Zr 3.11
2 Zr 0.0000 0.0000 0.1567  4 Pd 2.91, 4 Zr 3.11
3 Zr 0.5000 0.5000 0.3434  4 Pd 2.91, 4 Zr 3.11
4 Pd 0.0000 0.0000 0.5006  8 Zr 2.91
5 Zr 0.0000 0.0000 0.8429  4 Pd 2.91, 4 Zr 3.11
6 Pd 0.5000 0.5000 0.9996  8 Zr 2.91

# 9
# TmAgS2

TmAgS2 after structural relaxation (PBE, OQMD).

Output
The raw total energy comes out at -83.50 eV per cell. The total magnetic moment is 0.003 μB/cell.

Cell lengths 13.3632, 4.0220, 6.6135 Å; angles 90.00, 90.00, 90.00 degrees
With the nearest neighbours (Å) after each atom.
Fractional coordinates of all 16 atoms:
1 S 0.7754 0.7500 0.1934  1 Ag 2.49, 3 Tm 2.68-2.71
2 S 0.2246 0.2500 0.8066  1 Ag 2.49, 3 Tm 2.68-2.71
3 Tm 0.6367 0.7500 0.4926  6 S 2.68-2.76
4 Ag 0.9258 0.7500 0.4168  2 S 2.49-2.52
5 Tm 0.8633 0.2500 0.9926  6 S 2.68-2.76
6 Ag 0.0742 0.2500 0.5832  2 S 2.49-2.52
7 Tm 0.1367 0.7500 0.0074  6 S 2.68-2.76
8 Tm 0.3633 0.2500 0.5074  6 S 2.68-2.76
9 S 0.7246 0.2500 0.6934  1 Ag 2.49, 3 Tm 2.68-2.71
10 S 0.4626 0.7500 0.7098  1 Ag 2.52, 3 Tm 2.73-2.76
11 Ag 0.5742 0.2500 0.9168  2 S 2.49-2.52
12 S 0.0374 0.2500 0.2098  1 Ag 2.52, 3 Tm 2.73-2.76
13 Ag 0.4258 0.7500 0.0832  2 S 2.49-2.52
14 S 0.5374 0.2500 0.2902  1 Ag 2.52, 3 Tm 2.73-2.76
15 S 0.2754 0.7500 0.3066  1 Ag 2.49, 3 Tm 2.68-2.71
16 S 0.9626 0.7500 0.7902  1 Ag 2.52, 3 Tm 2.73-2.76

# 10
# MgZrNi2Bi2

MgZrNi2Bi2 after structural relaxation (PBE, OQMD).

Output
The raw total energy comes out at -63.14 eV per cell. The total magnetic moment is 0.005 μB/cell.

Cell lengths 6.2634, 6.2634, 7.6690 Å; angles 65.90, 65.90, 90.00 degrees
With the nearest neighbours (Å) after each atom.
Fractional coordinates of all 12 atoms:
1 Bi 0.2447 0.2447 0.5106  4 Ni 2.71-2.72
2 Mg 0.0000 0.0000 0.0000  4 Ni 2.76, 2 Bi 3.06
3 Zr 0.5000 0.5000 0.0000  4 Ni 2.67
4 Ni 0.8629 0.3750 0.7500  2 Zr 2.67, 4 Bi 2.71-2.72, 2 Mg 2.76
5 Ni 0.1250 0.1371 0.2500  2 Zr 2.67, 4 Bi 2.71-2.72, 2 Mg 2.76
6 Bi 0.0053 0.5053 0.9894  4 Ni 2.71-2.72
7 Bi 0.7553 0.7553 0.4894  4 Ni 2.71-2.72
8 Bi 0.4947 0.9947 0.0106  4 Ni 2.71-2.72
9 Mg 0.2500 0.7500 0.5000  4 Ni 2.76, 2 Bi 3.06
10 Zr 0.7500 0.2500 0.5000  4 Ni 2.67
11 Ni 0.6250 0.6129 0.2500  2 Zr 2.67, 4 Bi 2.71-2.72, 2 Mg 2.76
12 Ni 0.3871 0.8750 0.7500  2 Zr 2.67, 4 Bi 2.71-2.72, 2 Mg 2.76

# 11
# RbPrSeO

RbPrSeO after structural relaxation (PBE, OQMD).

Output
The energy above the most stable polymorph in this dataset comes out at 8 meV per atom. The total magnetic moment is 0.004 μB/cell.

Cell lengths 8.1395, 7.8330, 6.9098 Å; angles 90.00, 102.06, 90.00 degrees
With the nearest neighbours (Å) after each atom.
Fractional coordinates of all 16 atoms:
1 Se 0.2439 0.4136 0.3548  3 Pr 3.03-3.14, 2 Rb 3.32-3.39
2 O 0.4080 0.8514 0.3855  3 Pr 2.35-2.39
3 Se 0.7561 0.9136 0.1452  3 Pr 3.03-3.14, 2 Rb 3.32-3.39
4 Pr 0.5284 0.6278 0.2241  3 O 2.35-2.39
5 Se 0.2439 0.0864 0.8548  3 Pr 3.03-3.14, 2 Rb 3.32-3.39
6 O 0.5920 0.1486 0.6145  3 Pr 2.35-2.39
7 Rb 0.0873 0.7750 0.4909  1 O 2.91
8 Se 0.7561 0.5864 0.6452  3 Pr 3.03-3.14, 2 Rb 3.32-3.39
9 Pr 0.5284 0.8722 0.7241  3 O 2.35-2.39
10 Pr 0.4716 0.1278 0.2759  3 O 2.35-2.39
11 Rb 0.9127 0.2750 0.0091  1 O 2.91
12 Rb 0.0873 0.7250 0.9909  1 O 2.91
13 O 0.5920 0.3514 0.1145  3 Pr 2.35-2.39
14 Rb 0.9127 0.2250 0.5091  1 O 2.91
15 O 0.4080 0.6486 0.8855  3 Pr 2.35-2.39
16 Pr 0.4716 0.3722 0.7759  3 O 2.35-2.39

# 12
# TmZrSe2O

TmZrSe2O after structural relaxation (PBE, OQMD).

Output
The raw total energy comes out at -71.13 eV per cell. The total magnetic moment is 0.434 μB/cell.

Cell lengths 6.2686, 6.2686, 9.1776 Å; angles 95.92, 95.92, 33.51 degrees
With the nearest neighbours (Å) after each atom.
Fractional coordinates of all 10 atoms:
1 O 0.3322 0.3322 0.5543  1 Zr 2.13, 3 Tm 2.25-2.31
2 Zr 0.5000 0.5000 0.5000  2 O 2.13
3 Se 0.9252 0.9252 0.2820  3 Zr 2.77-2.83, 2 Tm 3.06
4 Se 0.3453 0.3453 0.9055  2 Zr 2.67, 2 Tm 2.87
5 Se 0.0748 0.0748 0.7180  3 Zr 2.77-2.83, 2 Tm 3.06
6 Tm 0.7732 0.7732 0.6711  3 O 2.25-2.31
7 O 0.6678 0.6678 0.4457  1 Zr 2.13, 3 Tm 2.25-2.31
8 Se 0.6547 0.6547 0.0945  2 Zr 2.67, 2 Tm 2.87
9 Tm 0.2268 0.2268 0.3289  3 O 2.25-2.31
10 Zr 0.0000 0.0000 0.0000  6 Se 2.67-2.83

- Which formula does entry 3 have?
  DyZnOs